Computed, not measured: an optimized crystal structure of Cs3ZrSc2S6 at the PBE-GGA level of DFT.

Its density of states at the Fermi level is 7.31 states/eV per cell. The crystal system is monoclinic. The calculation puts the energy relative to the elements, uncorrected at -19.1 eV per formula unit. The value obtained for the total magnetization is 0.000 μB/f.u.

It has space group C2/m (No. 12), with a = 6.707 Å, b = 11.617 Å, c = 8.317 Å, α = 90.00°, β = 105.59° and γ = 90.00°. The distinct sites, in fractional coordinates, are Cs at (0.000, 0.000, 0.000), Cs at (0.000, 0.333, 0.000), Zr at (0.000, 0.500, 0.500), Sc at (0.000, 0.167, 0.500), S at (0.225, 0.334, 0.676) and S at (0.227, 0.000, 0.676).